ZrZn2Os after structural relaxation, computed with PBE-GGA.

Calculated values
The calculated formation energy is 145 meV/atom. The value obtained for the density of states at the Fermi level is 0.743 states/eV/atom. As for the space group: R-3m, No. 166.

abc: 9.4552 9.4552 9.4552
angles: 17.35 17.35 17.35
Sites, in units of the cell vectors:
Os 0.7500 0.7500 0.7500
Zn 0.0074 0.0074 0.0074
Zn 0.4926 0.4926 0.4926
Zr 0.2500 0.2500 0.2500


ZrZnOs2 after structural relaxation, computed with PBE-GGA.

Calculated values
The calculated formation energy is 46 meV/atom. The value obtained for the density of states at the Fermi level is 0.848 states/eV/atom. As for the space group: P2/m, No. 10.

abc: 4.4568 2.7922 5.1739
angles: 84.83 90.00 90.00
Sites, in units of the cell vectors:
Os 0.0000 0.0337 0.0263
Os 0.0000 0.4663 0.4737
Zn 0.5000 0.2500 0.2500
Zr 0.5000 0.7500 0.7500


ZrZnOs2 after structural relaxation, computed with PBE-GGA.

Calculated values
The calculated formation energy is 68 meV/atom. The value obtained for the density of states at the Fermi level is 1.297 states/eV/atom. As for the space group: I4/mmm, No. 139.

abc: 4.8338 4.8338 4.8338
angles: 130.26 130.26 72.99
Sites, in units of the cell vectors:
Os 0.0000 0.0000 0.0000
Os 0.5000 0.5000 0.0000
Zn 0.2500 0.7500 0.5000
Zr 0.7500 0.2500 0.5000


ZrZnOs2 after structural relaxation, computed with PBE-GGA.

Calculated values
The calculated formation energy is 230 meV/atom. The value obtained for the density of states at the Fermi level is 0.762 states/eV/atom. As for the space group: R-3m, No. 166.

abc: 9.3591 9.3591 9.3591
angles: 17.34 17.34 17.34
Sites, in units of the cell vectors:
Os 0.9946 0.9946 0.9946
Os 0.5054 0.5054 0.5054
Zn 0.2500 0.2500 0.2500
Zr 0.7500 0.7500 0.7500